Record 1
# TlIn2Cu

A geometry-optimized TlIn2Cu structure (PBEsol, the Alexandria database).

As for the energy relative to the elements: 0.1647 eV/atom. For the density of states at the Fermi level, the calculation gives 1.77 states/eV/f.u.

The space group is P2/m (No. 10) and the conventional cell measures 4.202, 4.379 and 5.430 Å, with angles of 90.00, 110.83 and 90.00 degrees. The asymmetric unit holds Tl at (0.000, 0.000, 0.000), In at (0.338, 0.500, 0.711) and Cu at (0.500, 0.000, 0.500).

***

Record 2
# Ta10Si2MoSe8

A geometry-optimized Ta10Si2MoSe8 structure (PBEsol, the Alexandria database).

For the density of states at the Fermi level, the calculation gives 5.96 states/eV/f.u. The uncorrected formation energy is -0.7130 eV/atom.

The space group is Pnnm (No. 58) and the conventional cell measures 11.810, 19.192 and 3.447 Å, with angles of 90.00, 90.00 and 90.00 degrees. The asymmetric unit holds Ta at (0.050, 0.242, 0.000), Ta at (0.064, 0.113, 0.500), Ta at (0.161, 0.785, 0.500), Ta at (0.177, 0.953, 0.500), Ta at (0.179, 0.355, 0.500), Si at (0.092, 0.871, 0.000), Mo at (0.000, 0.000, 0.000), Se at (0.040, 0.671, 0.500), Se at (0.110, 0.448, 0.000), Se at (0.211, 0.057, 0.000) and Se at (0.217, 0.212, 0.500).

***

Record 3
# ScMnBe

A geometry-optimized ScMnBe structure (PBEsol, the Alexandria database).

As for the energy relative to the elements: 1.1203 eV/atom. For the density of states at the Fermi level, the calculation gives 3.42 states/eV/f.u.

The space group is F-43m (No. 216) and the conventional cell measures 5.984, 5.984 and 5.984 Å, with angles of 90.00, 90.00 and 90.00 degrees. The asymmetric unit holds Sc at (0.000, 0.000, 0.000), Mn at (0.250, 0.250, 0.250) and Be at (0.250, 0.250, 0.750).

***

Record 4
# Fe3Co

A geometry-optimized Fe3Co structure (PBEsol, the Alexandria database).

As for the energy relative to the elements: 0.0181 eV/atom. For the density of states at the Fermi level, the calculation gives 3.06 states/eV/f.u.

The space group is R-3m (No. 166, hexagonal axes) and the conventional cell measures 7.9046, 7.9046 and 2.4291 Å, with angles of 90.00, 90.00 and 120.00 degrees. The asymmetric unit holds Fe at (0.0000, 0.5000, 0.0000) and Co at (0.0000, 0.0000, 0.0000).